Computed, not measured: a relaxed structure of Ca7Bi2Sb2 at the GGA-PBE level of DFT.

Output
E_form (uncorrected) (eV/atom): -0.71
Total magnetization (μB/cell): 0.0
Symmetry: No. 65

abc: 7.4690 7.4210 7.4690
angles: 90.00 96.26 90.00
Positions (direct):
1 Ca 0.9998 0.2574 0.5003
2 Ca 0.5003 0.7426 0.9998
3 Ca 0.0002 0.7426 0.4997
4 Ca 0.4997 0.2574 0.0002
5 Ca 0.0000 0.0000 0.0000
6 Ca 0.5002 0.7428 0.4998
7 Ca 0.4998 0.2572 0.5002
8 Bi 0.7795 0.5000 0.7795
9 Bi 0.2205 0.5000 0.2205
10 Sb 0.7244 0.0000 0.2756
11 Sb 0.2756 0.0000 0.7244

Computed, not measured: a relaxed structure of Na3AlSn4 at the GGA-PBE level of DFT.

Output
Total magnetization (μB/cell): 0.0
Symmetry: No. 71
Calculated formation energy (eV/atom): -0.070

abc: 3.1686 6.3827 10.8668
angles: 107.08 98.38 90.00
Positions (direct):
1 Na 0.2396 0.2396 0.4792
2 Na 0.7604 0.7604 0.5208
3 Na 0.0000 0.5000 0.0000
4 Al 0.5000 0.0000 0.0000
5 Sn 0.3800 0.6288 0.7600
6 Sn 0.6200 0.3712 0.2400
7 Sn 0.6200 0.8688 0.2400
8 Sn 0.3800 0.1312 0.7600

Computed, not measured: a relaxed structure of In2MoPt at the GGA-PBE level of DFT.

Output
Total magnetization (μB/cell): 3.8
Symmetry: No. 122
E above lowest polymorph (meV/atom): 425
Calculated formation energy (eV/atom): 0.409

abc: 7.5191 7.5191 6.0589
angles: 51.65 51.65 90.00
Positions (direct):
1 Mo 0.5000 0.5000 0.0000
2 Mo 0.2500 0.7500 0.5000
3 Pt 0.0000 0.0000 0.0000
4 Pt 0.7500 0.2500 0.5000
5 In 0.6423 0.1250 0.2500
6 In 0.1077 0.6250 0.2500
7 In 0.3750 0.3577 0.7500
8 In 0.8750 0.8923 0.7500

Computed, not measured: a relaxed structure of YTl2BiRh at the GGA-PBE level of DFT.

Output
Total magnetization (μB/cell): 0.0
Symmetry: No. 123
Calculated formation energy (eV/atom): -0.222

abc: 5.2259 5.2259 5.3289
angles: 90.00 90.00 90.00
Positions (direct):
1 Y 0.0000 0.0000 0.5000
2 Tl 0.0000 0.5000 0.0000
3 Tl 0.5000 0.0000 0.0000
4 Rh 0.0000 0.0000 0.0000
5 Bi 0.5000 0.5000 0.5000

Computed, not measured: a relaxed structure of LiPmS2 at the GGA-PBE level of DFT.

Output
E_form (uncorrected) (eV/atom): -1.73
Total magnetization (μB/cell): 0.0
Symmetry: No. 160

abc: 3.9993 3.9993 7.0678
angles: 73.57 73.57 60.00
Positions (direct):
1 Li 0.4871 0.4871 0.5388
2 Pm 0.6690 0.6690 0.9930
3 S 0.0856 0.0856 0.7431
4 S 0.2583 0.2583 0.2251

Computed, not measured: a relaxed structure of CePrHgBi at the GGA-PBE level of DFT.

Output
Total magnetization (μB/cell): 1.7
Symmetry: No. 216
Calculated formation energy (eV/atom): -0.513

abc: 5.5275 5.5275 5.5275
angles: 60.00 60.00 60.00
Positions (direct):
1 Pr 0.2500 0.2500 0.2500
2 Bi 0.0000 0.0000 0.0000
3 Ce 0.7500 0.7500 0.7500
4 Hg 0.5000 0.5000 0.5000

Computed, not measured: a relaxed structure of Pr3Sm2Y6 at the GGA-PBE level of DFT.

Output
Total magnetization (μB/cell): 0.0
Symmetry: No. 12
E above lowest polymorph (meV/atom): 179
Calculated formation energy (eV/atom): 0.191

abc: 6.2390 6.2506 11.7337
angles: 84.87 79.67 60.06
Positions (direct):
1 Pr 0.0000 0.0000 0.0000
2 Pr 0.3359 0.3282 0.0000
3 Pr 0.6641 0.6718 0.0000
4 Sm 0.1664 0.6673 0.5000
5 Sm 0.8336 0.3327 0.5000
6 Y 0.4178 0.6676 0.7468
7 Y 0.7500 0.0000 0.7472
8 Y 0.0854 0.3324 0.7468
9 Y 0.2500 0.0000 0.2528
10 Y 0.5822 0.3324 0.2532
11 Y 0.9146 0.6676 0.2532

Computed, not measured: a relaxed structure of FeCuOs3 at the GGA-PBE level of DFT.

Output
Total magnetization (μB/cell): 0.5
Symmetry: No. 221
E above lowest polymorph (meV/atom): 0
Calculated formation energy (eV/atom): 1.905

abc: 4.3884 4.3884 4.3884
angles: 90.00 90.00 90.00
Positions (direct):
1 Os 0.0000 0.5000 0.0000
2 Os 0.0000 0.0000 0.5000
3 Os 0.5000 0.0000 0.0000
4 Fe 0.0000 0.0000 0.0000
5 Cu 0.5000 0.5000 0.5000